CsMoPtO6 after structural relaxation, computed with PBE+U.

Calculated values
mass density = 6.17 g cm⁻³
VASP energy = -6.04 eV per atom

a = 7.354 Å, b = 7.354 Å, c = 7.354 Å
α = 121.30°, β = 119.29°, γ = 89.49°
Positions (direct):
Cs  0.377  0.127  0.250
Cs  0.623  0.873  0.750
Mo  0.000  0.500  0.500
Mo  0.500  0.500  0.000
Pt  0.000  0.000  0.500
Pt  0.000  0.500  0.000
O  0.061  0.430  0.249
O  0.061  0.812  0.631
O  0.074  0.824  0.250
O  0.311  0.561  0.750
O  0.319  0.188  0.749
O  0.319  0.570  0.131
O  0.681  0.430  0.869
O  0.681  0.812  0.251
O  0.689  0.439  0.250
O  0.926  0.176  0.750
O  0.939  0.188  0.369
O  0.939  0.570  0.751